Computed, not measured: an optimized crystal structure of Ac2Ag6Hg3 at the PBE level of DFT.

The formation energy is -4.2 kcal/mol of atoms. For the total energy, the calculation gives -2.57 eV per atom.

The space group is P-62m (No. 189) and the conventional cell measures 8.1078, 8.1078 and 4.7741 Å, with angles of 90.00, 90.00 and 120.00 degrees. The inequivalent atoms are Ac at (0.3333, 0.6667, 0.0000), Ag at (0.0000, 0.2281, 0.5000), Ag at (0.0000, 0.7972, 0.0000) and Hg at (0.0000, 0.5844, 0.5000).

***

Computed, not measured: an optimized crystal structure of Dy2ZnGa3Rh4 at the PBE level of DFT.

The formation energy is -17.3 kcal/mol of atoms. For the total energy, the calculation gives -5.65 eV per atom.

The space group is P-4m2 (No. 115) and the conventional cell measures 4.1863, 4.1863 and 10.2805 Å, with angles of 90.00, 90.00 and 90.00 degrees. The inequivalent atoms are Dy at (0.0000, 0.5000, 0.2411), Zn at (0.0000, 0.0000, 0.5000), Ga at (0.0000, 0.5000, 0.8726), Ga at (0.5000, 0.5000, 0.5000), Rh at (0.0000, 0.0000, 0.0000), Rh at (0.0000, 0.5000, 0.6361) and Rh at (0.5000, 0.5000, 0.0000).

***

Computed, not measured: an optimized crystal structure of Mg2TeCBr at the PBE level of DFT.

For the total energy, the calculation gives -2.65 eV per atom.

The space group is P4/mmm (No. 123) and the conventional cell measures 5.6173, 5.6173 and 4.2298 Å, with angles of 90.00, 90.00 and 90.00 degrees. The inequivalent atoms are Mg at (0.0000, 0.5000, 0.0000), Te at (0.0000, 0.0000, 0.0000), C at (0.0000, 0.0000, 0.5000) and Br at (0.5000, 0.5000, 0.5000).